VASP calculation (GGA-PBEsol) on crystalline SrMn2Fe at its relaxed geometry.

CIF file:
```
data_SrMn2Fe
_space_group_name_H-M_alt 'R 3 m'
_space_group_IT_number 160
_space_group_name_Hall 'R 3 -2"'
_cell_length_a 3.8810
_cell_length_b 3.8810
_cell_length_c 16.5195
_cell_angle_alpha 90.00
_cell_angle_beta 90.00
_cell_angle_gamma 120.00
loop_
_atom_site_label
_atom_site_fract_x
_atom_site_fract_y
_atom_site_fract_z
Sr1 0.0000 0.0000 0.0000
Mn1 0.0000 0.0000 0.1905
Mn2 0.0000 0.0000 0.4937
Fe1 0.0000 0.0000 0.8107
```

Values from the calculation:
Raw total energy in eV per atom: -7.0694
Volume in Å³/atom: 17.96
DOS(E_F) in states/eV/atom: 1.279
E_form in meV per atom: 512

VASP calculation (GGA-PBEsol) on crystalline In2CuAgS4 at its relaxed geometry.

CIF file:
```
data_In2CuAgS4
_space_group_name_H-M_alt 'I -4'
_space_group_IT_number 82
_space_group_name_Hall 'I -4'
_cell_length_a 5.612
_cell_length_b 5.612
_cell_length_c 11.287
_cell_angle_alpha 90.00
_cell_angle_beta 90.00
_cell_angle_gamma 90.00
loop_
_atom_site_label
_atom_site_fract_x
_atom_site_fract_y
_atom_site_fract_z
In1 0.000 0.000 0.000
In2 0.000 0.500 0.250
Cu1 0.000 0.000 0.500
Ag1 0.000 0.500 0.750
S1 0.233 0.235 0.383
```

Values from the calculation:
Raw total energy in eV per atom: -4.3521
Volume in Å³/atom: 22.22
DOS(E_F) in states/eV/atom: 0.064
Uncorrected formation energy in meV/atom: -459

VASP calculation (GGA-PBEsol) on crystalline BiRhO2 at its relaxed geometry.

CIF file:
```
data_BiRhO2
_space_group_name_H-M_alt 'R -3 m'
_space_group_IT_number 166
_space_group_name_Hall '-R 3 2"'
_cell_length_a 3.2264
_cell_length_b 3.2264
_cell_length_c 19.6298
_cell_angle_alpha 90.00
_cell_angle_beta 90.00
_cell_angle_gamma 120.00
loop_
_atom_site_label
_atom_site_fract_x
_atom_site_fract_y
_atom_site_fract_z
Bi1 0.0000 0.0000 0.0000
Rh1 0.0000 0.0000 0.5000
O1 0.0000 0.0000 0.1211
```

Values from the calculation:
Raw total energy in eV per atom: -6.3641
Volume in Å³/atom: 14.75
DOS(E_F) in states/eV/atom: 0.198
Uncorrected formation energy in meV/atom: -633

VASP calculation (GGA-PBEsol) on crystalline HgIr2Os at its relaxed geometry.

CIF file:
```
data_HgIr2Os
_space_group_name_H-M_alt 'P m m 2'
_space_group_IT_number 25
_space_group_name_Hall 'P 2 -2'
_cell_length_a 2.739
_cell_length_b 3.767
_cell_length_c 6.036
_cell_angle_alpha 90.00
_cell_angle_beta 90.00
_cell_angle_gamma 90.00
loop_
_atom_site_label
_atom_site_fract_x
_atom_site_fract_y
_atom_site_fract_z
Hg1 0.000 0.000 0.000
Ir1 0.000 0.000 0.507
Ir2 0.500 0.500 0.275
Os1 0.500 0.500 0.710
```

Values from the calculation:
Raw total energy in eV per atom: -7.6319
Volume in Å³/atom: 15.57
DOS(E_F) in states/eV/atom: 0.806
E_form in meV per atom: 476

VASP calculation (GGA-PBEsol) on crystalline Th7Ru3 at its relaxed geometry.

CIF file:
```
data_Th7Ru3
_space_group_name_H-M_alt 'P 63 m c'
_space_group_IT_number 186
_space_group_name_Hall 'P 6c -2c'
_cell_length_a 9.8028
_cell_length_b 9.8028
_cell_length_c 6.2237
_cell_angle_alpha 90.00
_cell_angle_beta 90.00
_cell_angle_gamma 120.00
loop_
_atom_site_label
_atom_site_fract_x
_atom_site_fract_y
_atom_site_fract_z
Th1 0.0824 0.5412 0.0000
Th2 0.1256 0.2512 0.7108
Th3 0.3333 0.6667 0.4994
Ru1 0.1860 0.3720 0.2531
```

Values from the calculation:
Raw total energy in eV per atom: -9.0883
Volume in Å³/atom: 25.90
DOS(E_F) in states/eV/atom: 0.982
E_form in meV per atom: -362

VASP calculation (GGA-PBEsol) on crystalline NaTl2In2 at its relaxed geometry.

CIF file:
```
data_NaTl2In2
_space_group_name_H-M_alt 'I 4/m m m'
_space_group_IT_number 139
_space_group_name_Hall '-I 4 2'
_cell_length_a 4.329
_cell_length_b 4.329
_cell_length_c 15.257
_cell_angle_alpha 90.00
_cell_angle_beta 90.00
_cell_angle_gamma 90.00
loop_
_atom_site_label
_atom_site_fract_x
_atom_site_fract_y
_atom_site_fract_z
Na1 0.000 0.000 0.000
Tl1 0.000 0.000 0.398
In1 0.000 0.500 0.250
```

Values from the calculation:
Raw total energy in eV per atom: -2.5318
ΔE to the lowest computed polymorph in meV/atom: 12
Volume in Å³/atom: 28.59
DOS(E_F) in states/eV/atom: 0.465
E_form in meV per atom: -7

VASP calculation (GGA-PBEsol) on crystalline SrHf2HgO at its relaxed geometry.

CIF file:
```
data_SrHf2HgO
_space_group_name_H-M_alt 'P 4/m m m'
_space_group_IT_number 123
_space_group_name_Hall '-P 4 2'
_cell_length_a 5.120
_cell_length_b 5.120
_cell_length_c 6.091
_cell_angle_alpha 90.00
_cell_angle_beta 90.00
_cell_angle_gamma 90.00
loop_
_atom_site_label
_atom_site_fract_x
_atom_site_fract_y
_atom_site_fract_z
Sr1 0.000 0.000 0.000
Hf1 0.000 0.500 0.500
Hg1 0.000 0.000 0.500
O1 0.500 0.500 0.000
```

Values from the calculation:
Raw total energy in eV per atom: -4.6122
Volume in Å³/atom: 31.93
DOS(E_F) in states/eV/atom: 1.080
Uncorrected formation energy in meV/atom: 1120

VASP calculation (GGA-PBEsol) on crystalline Ag6GeSO8 at its relaxed geometry.

CIF file:
```
data_Ag6GeSO8
_space_group_name_H-M_alt 'I 41/a m d'
_space_group_IT_number 141
_cell_length_a 6.897
_cell_length_b 6.897
_cell_length_c 18.196
_cell_angle_alpha 90.00
_cell_angle_beta 90.00
_cell_angle_gamma 90.00
loop_
_space_group_symop_operation_xyz
'x,y,z'
'-x,-y,-z'
'-y+1/4,x+3/4,z+1/4'
'y+1/4,-x+3/4,-z+1/4'
'-x+1/2,-y,z+1/2'
'x+1/2,y,-z+1/2'
'y+1/4,-x+1/4,z+3/4'
'-y+1/4,x+1/4,-z+3/4'
'x,-y,-z'
'-x,y,z'
'-y+1/4,-x+1/4,-z+3/4'
'y+1/4,x+1/4,z+3/4'
'-x+1/2,y,-z+1/2'
'x+1/2,-y,z+1/2'
'y+1/4,x+3/4,-z+1/4'
'-y+1/4,-x+3/4,z+1/4'
'x+1/2,y+1/2,z+1/2'
'-x+1/2,-y+1/2,-z+1/2'
'-y+3/4,x+1/4,z+3/4'
'y+3/4,-x+1/4,-z+3/4'
'-x,-y+1/2,z'
'x,y+1/2,-z'
'y+3/4,-x+3/4,z+1/4'
'-y+3/4,x+3/4,-z+1/4'
'x+1/2,-y+1/2,-z+1/2'
'-x+1/2,y+1/2,z+1/2'
'-y+3/4,-x+3/4,-z+1/4'
'y+3/4,x+3/4,z+1/4'
'-x,y+1/2,-z'
'x,-y+1/2,z'
'y+3/4,x+1/4,-z+3/4'
'-y+3/4,-x+1/4,z+3/4'
loop_
_atom_site_label
_atom_site_fract_x
_atom_site_fract_y
_atom_site_fract_z
Ag1 0.000 0.250 0.104
Ag2 0.209 0.000 0.000
Ge1 0.000 0.250 0.875
S1 0.000 0.250 0.375
O1 0.000 0.037 0.821
O2 0.000 0.073 0.422
```

Values from the calculation:
Raw total energy in eV per atom: -5.1746
Volume in Å³/atom: 13.52
DOS(E_F) in states/eV/atom: 0.116
Uncorrected formation energy in meV/atom: -726

VASP calculation (GGA-PBEsol) on crystalline NbRePt3 at its relaxed geometry.

CIF file:
```
data_NbRePt3
_space_group_name_H-M_alt 'P m -3 m'
_space_group_IT_number 221
_space_group_name_Hall '-P 4 2 3'
_cell_length_a 4.725
_cell_length_b 4.725
_cell_length_c 4.725
_cell_angle_alpha 90.00
_cell_angle_beta 90.00
_cell_angle_gamma 90.00
loop_
_atom_site_label
_atom_site_fract_x
_atom_site_fract_y
_atom_site_fract_z
Nb1 0.000 0.000 0.000
Re1 0.500 0.500 0.500
Pt1 0.000 0.500 0.500
```

Values from the calculation:
Raw total energy in eV per atom: -7.5526
Volume in Å³/atom: 21.10
DOS(E_F) in states/eV/atom: 1.011
E_form in meV per atom: 1456

VASP calculation (GGA-PBEsol) on crystalline MnSe2N2 at its relaxed geometry.

CIF file:
```
data_MnSe2N2
_space_group_name_H-M_alt 'P 4/m m m'
_space_group_IT_number 123
_space_group_name_Hall '-P 4 2'
_cell_length_a 4.594
_cell_length_b 4.594
_cell_length_c 3.358
_cell_angle_alpha 90.00
_cell_angle_beta 90.00
_cell_angle_gamma 90.00
loop_
_atom_site_label
_atom_site_fract_x
_atom_site_fract_y
_atom_site_fract_z
Mn1 0.000 0.000 0.000
Se1 0.000 0.500 0.000
N1 0.000 0.000 0.500
N2 0.500 0.500 0.500
```

Values from the calculation:
Raw total energy in eV per atom: -5.7514
Volume in Å³/atom: 14.17
DOS(E_F) in states/eV/atom: 0.665
Uncorrected formation energy in meV/atom: 1152

VASP calculation (GGA-PBEsol) on crystalline TaCu3Cl at its relaxed geometry.

CIF file:
```
data_TaCu3Cl
_space_group_name_H-M_alt 'P m -3 m'
_space_group_IT_number 221
_space_group_name_Hall '-P 4 2 3'
_cell_length_a 4.278
_cell_length_b 4.278
_cell_length_c 4.278
_cell_angle_alpha 90.00
_cell_angle_beta 90.00
_cell_angle_gamma 90.00
loop_
_atom_site_label
_atom_site_fract_x
_atom_site_fract_y
_atom_site_fract_z
Ta1 0.000 0.000 0.000
Cu1 0.000 0.500 0.500
Cl1 0.500 0.500 0.500
```

Values from the calculation:
Raw total energy in eV per atom: -4.2481
ΔE to the lowest computed polymorph in meV/atom: 0
Volume in Å³/atom: 15.66
DOS(E_F) in states/eV/atom: 0.979
Uncorrected formation energy in meV/atom: 1264

VASP calculation (GGA-PBEsol) on crystalline AlTl2F5 at its relaxed geometry.

CIF file:
```
data_AlTl2F5
_space_group_name_H-M_alt 'C m c m'
_space_group_IT_number 63
_space_group_name_Hall '-C 2c 2'
_cell_length_a 8.744
_cell_length_b 8.750
_cell_length_c 7.430
_cell_angle_alpha 90.00
_cell_angle_beta 90.00
_cell_angle_gamma 90.00
loop_
_atom_site_label
_atom_site_fract_x
_atom_site_fract_y
_atom_site_fract_z
Al1 0.000 0.000 0.000
Tl1 0.249 0.253 0.250
F1 0.000 0.007 0.250
F2 0.000 0.206 0.508
F3 0.206 0.000 0.000
```

Values from the calculation:
Raw total energy in eV per atom: -5.0518
Volume in Å³/atom: 17.77
DOS(E_F) in states/eV/atom: 0.000
Uncorrected formation energy in meV/atom: -2678

What is the volume in the sixth record? 28.59 Å³/atom